La5TlCd2: optimized geometry, PBE-GGA.

```
8
Lattice="6.5463 -0.0424 -2.2088 -3.3788 5.6064 -2.2107 0.0201 0.0375 6.9089" Properties=species:S:1:pos:R:3 pbc="T T T"
La 0.8903 1.5664 2.2277
La -0.8064 4.3480 -2.3335
La 4.1729 1.5631 4.5761
La 2.4729 4.3467 0.0149
La 0.8800 1.5421 -1.2256
Tl 2.4864 4.3675 3.4692
Cd -0.8010 4.3686 1.1214
Cd 4.1616 1.5444 1.1221
```

Summary:
* energy of formation: -0.232 eV per atom
* symmetry: No. 107
* total magnetic moment: 0.00 μB/atom

=====

LaTlCd: optimized geometry, PBE-GGA.

```
3
Lattice="0.0000 3.6304 3.6304 3.6304 0.0000 3.6304 3.6304 3.6304 0.0000" Properties=species:S:1:pos:R:3 pbc="T T T"
Tl 0.0000 0.0000 0.0000
Cd 5.4455 5.4455 5.4455
La 1.8152 1.8152 1.8152
```

Summary:
* energy of formation: -0.287 eV per atom
* symmetry: No. 216
* total magnetic moment: 0.00 μB/atom

=====

La3Tl2Cd: optimized geometry, PBE-GGA.

```
6
Lattice="-1.4514 2.2255 -2.8585 -3.3004 0.4574 2.0318 4.7148 10.0155 5.4037" Properties=species:S:1:pos:R:3 pbc="T T T"
La 0.0000 0.0000 0.0000
La 3.1184 6.6244 3.5741
La 1.5963 3.3910 1.8296
Tl 1.5247 9.6273 4.0573
Tl -1.5617 3.0710 0.5199
Cd -0.0185 6.3492 2.2886
```

Summary:
* energy of formation: -0.393 eV per atom
* symmetry: No. 123
* total magnetic moment: 0.02 μB/atom
* energy relative to the lowest polymorph listed for this composition: 0.02 eV per formula unit

=====

La3Tl2Cd: optimized geometry, PBE-GGA.

```
12
Lattice="-0.6091 5.5720 0.2747 -2.0076 -2.8280 -4.4119 -12.0275 -1.6362 6.5219" Properties=species:S:1:pos:R:3 pbc="T T T"
La -6.5682 -0.7119 -0.1240
La -2.0758 2.6359 -0.7450
La -9.0147 -1.2263 4.8882
La -3.0128 -0.4099 1.6337
La -12.5684 -1.5281 3.1296
La -8.0760 1.8196 2.5086
Tl -6.0137 -0.8181 3.2609
Tl -3.6148 -0.3101 -1.7255
Tl -11.0294 1.4178 4.1101
Tl 0.0000 0.0000 0.0000
Cd -9.5698 -1.1202 1.5036
Cd -5.0744 2.2280 0.8810
```

Summary:
* energy of formation: -0.396 eV per atom
* symmetry: No. 164
* total magnetic moment: 0.00 μB/atom
* energy relative to the lowest polymorph listed for this composition: 0.00 eV per formula unit

=====

La2Tl3Cd3: optimized geometry, PBE-GGA.

```
8
Lattice="5.1707 0.0000 1.5583 2.3505 4.6055 1.5583 0.0316 0.0194 9.2528" Properties=species:S:1:pos:R:3 pbc="T T T"
La 7.5164 4.6026 3.1325
La 3.7809 2.3152 6.1697
Tl 0.9702 0.5941 6.1385
Tl 6.5867 4.0333 6.2173
Tl 2.8444 1.7418 9.2771
Cd 1.9076 1.1681 3.0279
Cd 5.6449 3.4566 9.3425
Cd 4.7049 2.8810 3.1039
```

Summary:
* energy of formation: -0.279 eV per atom
* symmetry: No. 160
* total magnetic moment: 0.00 μB/atom

=====

La2Tl4Cd: optimized geometry, PBE-GGA.

```
7
Lattice="5.6345 0.0000 -1.7025 -0.5165 5.6088 -1.7093 -0.7170 -0.7939 7.8021" Properties=species:S:1:pos:R:3 pbc="T T T"
Tl 3.7381 1.0072 2.1962
Tl 0.6629 3.8076 2.1940
Tl 2.8173 0.0000 -0.8513
Tl -0.2583 2.8044 -0.8547
Cd 0.0000 0.0000 0.0000
La 3.0791 3.3699 0.0151
La 1.3220 1.4449 4.3751
```

Summary:
* energy of formation: -0.066 eV per atom
* symmetry: No. 12
* total magnetic moment: 0.00 μB/atom

=====

LaTlCd: optimized geometry, PBE-GGA.

```
6
Lattice="0.6225 4.7117 0.7812 -2.8911 -2.5574 2.8808 9.6304 -2.5058 7.4404" Properties=species:S:1:pos:R:3 pbc="T T T"
Tl 2.4076 -0.6264 1.8601
Tl 7.2228 -1.8793 5.5803
Cd 0.6877 -0.7608 4.0410
Cd 6.6740 0.4093 7.0613
La 0.0000 0.0000 0.0000
La 4.8152 -1.2529 3.7202
```

Summary:
* energy of formation: 0.446 eV per atom
* symmetry: No. 194
* total magnetic moment: 0.00 μB/atom

=====

La2Tl2Cd: optimized geometry, PBE-GGA.

```
10
Lattice="-0.1973 4.7884 -3.8788 -4.5207 5.3611 6.1275 -1.2641 7.4283 10.9189" Properties=species:S:1:pos:R:3 pbc="T T T"
La -5.1067 12.9230 13.9171
La -2.2739 8.8472 3.7843
La -0.8754 4.6547 -0.7495
La -3.7082 8.7305 9.3834
Tl -1.1650 5.8404 4.9537
Tl -3.2893 9.9229 12.4944
Tl -4.8171 11.7373 8.2139
Tl -2.6928 7.6548 0.6732
Cd -3.8523 6.8514 6.3270
Cd -2.1298 10.7263 6.8407
```

Summary:
* energy of formation: -0.325 eV per atom
* symmetry: No. 2
* total magnetic moment: 0.00 μB/atom
* energy relative to the lowest polymorph listed for this composition: 0.23 eV per formula unit

=====

LaTlCd3: optimized geometry, PBE-GGA.

```
5
Lattice="6.1462 0.0000 0.0000 0.0000 6.1462 0.0000 0.0000 0.0000 6.1462" Properties=species:S:1:pos:R:3 pbc="T T T"
Tl 3.0731 3.0731 3.0731
Cd 0.0000 3.0731 0.0000
Cd 0.0000 0.0000 3.0731
Cd 3.0731 0.0000 0.0000
La 0.0000 0.0000 0.0000
```

Summary:
* energy of formation: 0.628 eV per atom
* symmetry: No. 221
* total magnetic moment: 0.26 μB/atom
* energy relative to the lowest polymorph listed for this composition: 1.71 eV per formula unit

=====

La9TlCd2: optimized geometry, PBE-GGA.

```
12
Lattice="-1.0711 3.6524 -3.3602 0.1318 -3.4154 -3.7545 -14.8573 -2.6331 1.8739" Properties=species:S:1:pos:R:3 pbc="T T T"
La -0.4697 0.1185 -3.5574
La -5.4429 -0.7629 -2.9301
La -10.3537 -1.6332 -2.3107
La -3.0125 1.3872 -1.3677
La -7.9642 0.5097 -0.7432
La -12.9159 -0.3679 -0.1186
La -2.4111 -2.1467 -1.5648
La -7.3627 -3.0243 -0.9403
La -12.3144 -3.9019 -0.3158
Tl 0.0000 0.0000 0.0000
Cd -4.9588 -0.8788 0.6254
Cd -9.8985 -1.7543 1.2485
```

Summary:
* energy of formation: -0.169 eV per atom
* symmetry: No. 123
* total magnetic moment: 0.00 μB/atom

=====

LaTlCd: optimized geometry, PBE-GGA.

```
3
Lattice="-2.9387 2.0183 3.6248 -2.1163 -1.9995 -4.1679 -0.1996 -3.4136 1.7390" Properties=species:S:1:pos:R:3 pbc="T T T"
Tl -2.8317 -2.1790 2.4831
Cd -0.1656 -2.8324 1.4429
La -2.4569 -1.7971 -0.9912
```

Summary:
* energy of formation: -0.359 eV per atom
* symmetry: No. 156
* total magnetic moment: 0.01 μB/atom

=====

La8Tl2Cd: optimized geometry, PBE-GGA.

```
11
Lattice="-1.9602 4.0156 -2.7984 -2.9715 -5.8708 -6.3428 -4.2139 0.2711 8.3075" Properties=species:S:1:pos:R:3 pbc="T T T"
La -5.1845 -2.4400 -4.8363
La -5.2876 -1.7648 1.1714
La -1.9009 -0.1869 1.0633
La -7.1634 2.3318 3.3971
La -7.2447 -1.3972 -1.8970
La -3.8579 0.1807 -2.0051
La -3.9611 0.8558 4.0027
La -1.9822 -3.9160 -4.2307
Tl -4.1483 -3.1970 -1.6817
Tl -4.9973 1.6129 0.8481
Cd -0.9801 2.0078 -1.3992
```

Summary:
* energy of formation: -0.166 eV per atom
* symmetry: No. 71
* total magnetic moment: 0.00 μB/atom
* energy relative to the lowest polymorph listed for this composition: 0.00 eV per formula unit

=====

La3Tl5Cd: optimized geometry, PBE-GGA.

```
18
Lattice="-5.5325 3.7294 1.1353 -4.1075 -3.7260 -7.7770 -1.1163 -4.2401 8.4869" Properties=species:S:1:pos:R:3 pbc="T T T"
La -5.9373 0.0706 1.0941
La -4.8838 0.0079 6.4335
La -6.8511 0.3462 -4.2639
La -4.8190 -4.3073 0.7510
La -5.8726 -4.2447 -4.5884
La -2.7889 -0.3428 -2.3778
Tl -3.1105 -3.8975 -2.3557
Tl -4.8796 -2.2039 3.6331
Tl -2.1133 -4.0686 3.0655
Tl -5.8768 -2.0328 -1.7880
Tl -7.6978 -2.6141 1.3334
Tl -4.5076 1.4369 3.5734
Tl -5.4667 1.6021 -1.6427
Tl -3.0585 -1.6226 0.5118
Tl -6.2488 -5.6737 -1.7282
Tl -4.1733 -1.5987 -4.9991
Cd 0.0000 0.0000 0.0000
Cd -2.7663 1.8647 0.5677
```

Summary:
* energy of formation: -0.350 eV per atom
* symmetry: No. 193
* total magnetic moment: 0.00 μB/atom

=====

La3TlCd2: optimized geometry, PBE-GGA.

```
6
Lattice="-3.2808 0.7782 1.9964 -0.5398 -3.8334 0.6071 6.3915 0.7192 10.2229" Properties=species:S:1:pos:R:3 pbc="T T T"
La 0.0000 0.0000 0.0000
La 4.2905 0.4828 6.8625
La 2.1010 0.2364 3.3604
Tl 1.2854 -1.1680 6.4133
Cd 3.4475 -0.9248 9.8714
Cd -0.8766 -1.4113 2.9552
```

Summary:
* energy of formation: -0.357 eV per atom
* symmetry: No. 123
* total magnetic moment: 0.14 μB/atom
* energy relative to the lowest polymorph listed for this composition: 0.02 eV per formula unit

=====

La2Tl2Cd: optimized geometry, PBE-GGA.

```
10
Lattice="-0.9402 -3.7020 -6.9819 5.1665 -5.6084 2.2780 -3.6685 -2.6155 1.8808" Properties=species:S:1:pos:R:3 pbc="T T T"
Tl 4.1147 -6.1779 -0.5655
Tl 2.4836 -6.7686 -4.5684
Tl 0.1116 -3.1325 -4.1384
Tl 1.7427 -2.5418 -0.1356
Cd 0.0000 0.0000 0.0000
Cd 2.1132 -4.6552 -2.3520
La 1.4557 -5.6689 1.2928
La 1.8410 -8.4484 -1.8210
La -0.8979 -6.2571 -4.1159
La -1.2832 -3.4775 -1.0021
```

Summary:
* energy of formation: -0.349 eV per atom
* symmetry: No. 127
* total magnetic moment: 0.00 μB/atom
* energy relative to the lowest polymorph listed for this composition: 0.11 eV per formula unit

=====

LaTlCd: optimized geometry, PBE-GGA.

```
6
Lattice="-1.8625 -1.6807 -4.7701 -3.0778 -4.4131 -0.2946 -5.6139 3.8536 0.8282" Properties=species:S:1:pos:R:3 pbc="T T T"
Tl -8.2929 0.1045 -0.0136
Tl -6.6757 -0.8002 -3.3647
La -4.0275 -2.6239 -3.7574
La -5.6591 1.6618 -1.5844
Cd -2.9668 -0.1935 -1.9837
Cd -5.4068 -1.8763 -0.4394
```

Summary:
* energy of formation: -0.357 eV per atom
* symmetry: No. 8
* total magnetic moment: 0.00 μB/atom

=====

La15Tl4Cd: optimized geometry, PBE-GGA.

```
20
Lattice="-1.7343 -4.7587 -0.3735 4.6906 -1.6253 -1.0718 4.4072 -3.5418 24.6587" Properties=species:S:1:pos:R:3 pbc="T T T"
La 1.4782 -3.1920 -0.7227
La 2.3530 -3.8950 4.1719
La 3.2398 -4.6078 9.1339
La 4.1237 -5.3181 14.0794
La 5.0106 -6.0308 19.0415
La -0.4294 -2.7312 2.2627
La 0.4520 -3.4394 7.1938
La 1.3365 -4.1503 12.1426
La 2.2209 -4.8611 17.0913
La 3.1023 -5.5693 22.0224
La 2.7831 -1.1645 1.9136
La 3.6644 -1.8728 6.8447
La 4.5489 -2.5836 11.7934
La 5.4334 -3.2944 16.7422
La 6.3147 -4.0027 21.6733
Tl 0.8765 -0.7044 4.9040
Tl 1.7610 -1.4152 9.8528
Tl 2.6462 -2.1266 14.8059
Tl 3.5307 -2.8374 19.7547
Cd 0.0000 0.0000 0.0000
```

Summary:
* energy of formation: -0.222 eV per atom
* symmetry: No. 123
* total magnetic moment: 0.00 μB/atom

=====

La6Tl3Cd: optimized geometry, PBE-GGA.

```
20
Lattice="8.6991 0.0000 -0.1692 0.0000 8.4686 0.0000 -0.1299 0.0000 9.3740" Properties=species:S:1:pos:R:3 pbc="T T T"
La 5.7317 1.4412 8.5829
La 5.6086 1.2729 5.1907
La 6.5567 3.3330 2.2851
La 2.0125 5.1356 6.9197
La 2.9607 7.1956 4.0141
La 2.8376 7.0274 0.6219
La 1.4470 2.7931 3.9805
La 1.3240 2.9613 0.5883
La 2.1422 0.9013 7.0567
La 6.4270 7.5673 2.1481
La 7.2453 5.5072 8.6165
La 7.1222 5.6754 5.2244
Tl 4.6854 7.1145 7.0994
Tl 4.3496 4.2343 -0.0846
Tl 3.8838 1.3540 2.1054
Tl 0.4008 5.5883 2.4970
Tl -0.0649 0.0000 4.6870
Tl 8.1685 2.8803 6.7078
Cd 4.2846 4.2343 4.6024
Cd 0.0000 0.0000 0.0000
```

Summary:
* energy of formation: -0.184 eV per atom
* symmetry: No. 14
* total magnetic moment: 0.00 μB/atom
* energy relative to the lowest polymorph listed for this composition: 1.31 eV per formula unit

=====

LaTlCd: optimized geometry, PBE-GGA.

```
6
Lattice="-3.8531 -2.7766 -2.5670 4.9816 0.2631 -2.0820 2.8705 -8.1299 -1.1859" Properties=species:S:1:pos:R:3 pbc="T T T"
Tl 3.9408 -1.8660 -2.9149
Tl 0.9587 -7.4507 -3.7503
La 3.3888 -9.4710 -5.2087
La 3.5101 -5.1676 -4.3739
Cd 1.3741 -4.0941 -2.3321
Cd 4.3962 -8.0309 -2.6014
```

Summary:
* energy of formation: -0.343 eV per atom
* symmetry: No. 12
* total magnetic moment: 0.00 μB/atom

=====

LaTl2Cd2: optimized geometry, PBE-GGA.

```
10
Lattice="-5.3416 5.9092 -3.7635 1.4497 -3.6979 -7.8637 -2.8192 -2.2158 0.5222" Properties=species:S:1:pos:R:3 pbc="T T T"
Tl -0.6953 -1.0421 -8.1746
Tl -3.6992 2.7622 -8.2493
Tl -3.1966 3.2533 -3.4527
Tl -0.1927 -0.5510 -3.3779
Cd -1.3184 -2.5968 -5.5638
Cd -3.7364 -0.2871 -8.8168
Cd -5.3926 2.5923 -5.5412
Cd -2.9747 0.2825 -2.2882
La 0.0000 0.0000 0.0000
La -1.9459 1.1056 -5.8136
```

Summary:
* energy of formation: -0.104 eV per atom
* symmetry: No. 127
* total magnetic moment: 0.07 μB/atom
* energy relative to the lowest polymorph listed for this composition: 0.33 eV per formula unit

=====

LaTl4Cd: optimized geometry, PBE-GGA.

```
6
Lattice="-0.0503 4.4370 4.5726 -4.9366 3.9965 0.5071 -4.0334 -0.5252 4.9045" Properties=species:S:1:pos:R:3 pbc="T T T"
La 0.0000 0.0000 0.0000
Tl -3.4092 5.1825 6.0290
Tl -5.3981 2.7047 6.1948
Tl -5.8491 4.9625 3.9989
Tl -3.3841 2.9669 3.7457
Cd -6.7652 5.9312 7.4882
```

Summary:
* energy of formation: 0.009 eV per atom
* symmetry: No. 216
* total magnetic moment: 0.00 μB/atom

=====

LaTlCd: optimized geometry, PBE-GGA.

```
3
Lattice="0.0000 3.7357 3.7357 3.7357 0.0000 3.7357 3.7357 3.7357 0.0000" Properties=species:S:1:pos:R:3 pbc="T T T"
Tl 1.8679 1.8679 1.8679
Cd 5.6036 5.6036 5.6036
La 3.7357 3.7357 3.7357
```

Summary:
* energy of formation: 0.007 eV per atom
* symmetry: No. 216
* total magnetic moment: 0.00 μB/atom

=====

LaTl2Cd2: optimized geometry, PBE-GGA.

```
10
Lattice="8.7090 0.0000 0.0000 0.0000 8.7090 0.0000 0.0000 0.0000 3.6854" Properties=species:S:1:pos:R:3 pbc="T T T"
Tl 1.5588 5.9133 1.8427
Tl 5.9133 7.1502 1.8427
Tl 7.1502 2.7957 1.8427
Tl 2.7957 1.5588 1.8427
Cd 3.3090 7.6635 0.0000
Cd 7.6635 5.3999 0.0000
Cd 5.3999 1.0454 0.0000
Cd 1.0454 3.3090 0.0000
La 0.0000 0.0000 0.0000
La 4.3545 4.3545 0.0000
```

Summary:
* energy of formation: -0.122 eV per atom
* symmetry: No. 127
* total magnetic moment: 0.10 μB/atom
* energy relative to the lowest polymorph listed for this composition: 0.24 eV per formula unit

=====

LaTlCd: optimized geometry, PBE-GGA.

```
6
Lattice="-3.6615 -2.0144 -2.1115 2.2040 -4.0990 5.2810 -1.8985 6.0989 2.6257" Properties=species:S:1:pos:R:3 pbc="T T T"
Tl -2.4652 0.1797 3.1488
Tl -2.7154 -2.2032 0.6644
La -0.3849 -3.1321 2.7061
La -0.5922 -0.6258 5.8631
Cd -4.0697 0.4911 0.4470
Cd -0.8607 0.2790 0.2761
```

Summary:
* energy of formation: -0.288 eV per atom
* symmetry: No. 1
* total magnetic moment: 0.00 μB/atom